No. 1
PBE AlRu5, relaxed; Fermi-level density of states = 7.3 states/eV/f.u.; V = 14.0 Å³/atom; energy relative to the lowest polymorph listed for this composition = 0.0672 eV/atom; SG = P-62m, No. 189; ΔH_f (0 K) = -0.064 eV per atom; calculated total energy = -50.504 eV for the cell shown
1.0
2.354 -4.078 0.000
2.354 4.078 0.000
0.000 0.000 4.361
Al Ru
1 5
direct
0.000 0.000 0.500 Al
0.669 0.000 0.000 Ru
0.331 0.331 0.000 Ru
0.000 0.669 0.000 Ru
0.667 0.333 0.500 Ru
0.333 0.667 0.500 Ru


No. 2
PBE Al2Ru, relaxed; Fermi-level density of states = 0.7 states/eV/f.u.; V = 14.1 Å³/atom; SG = Cmcm, No. 63; ΔH_f (0 K) = -0.633 eV per atom; calculated total energy = -37.323 eV for the cell shown
1.0
-5.192 2.286 3.341
6.111 -2.432 -0.298
1.520 3.853 -0.274
Al Ru
4 2
direct
0.979 0.021 0.000 Al
0.656 0.344 0.000 Al
0.466 0.534 0.500 Al
0.788 0.212 0.500 Al
0.320 0.680 0.000 Ru
0.124 0.876 0.500 Ru


No. 3
PBE Al2Ru, relaxed; Fermi-level density of states = 0.3 states/eV/f.u.; V = 14.0 Å³/atom; SG = I4/mmm, No. 139; ΔH_f (0 K) = -0.686 eV per atom; calculated total energy = -18.819 eV for the cell shown
1.0
-1.495 -0.563 2.715
2.759 0.026 1.521
-1.027 4.433 -1.473
Ru Al
1 2
direct
0.500 0.500 0.000 Ru
0.160 0.160 0.319 Al
0.840 0.840 0.681 Al


No. 4
PBE Al2Ru, relaxed; Fermi-level density of states = 1.9 states/eV/f.u.; V = 14.7 Å³/atom; SG = C2/m, No. 12; ΔH_f (0 K) = -0.506 eV per atom; calculated total energy = -36.556 eV for the cell shown
1.0
0.761 -4.433 -1.959
2.842 -3.992 0.242
-3.013 -4.446 3.738
Al Ru
4 2
direct
0.043 0.043 0.676 Al
0.349 0.349 0.051 Al
0.651 0.651 0.949 Al
0.957 0.957 0.324 Al
0.677 0.677 0.342 Ru
0.323 0.323 0.658 Ru